[1]
A plane-wave DFT calculation with PBE was carried out for a geometry-optimized ScCdAs2Br structure.

formation energy without anion corrections = -0.113 eV per atom
space group = P4/mmm, No. 123
crystal system = tetragonal
size of the total moment = 0.5 Bohr magnetons per cell
DOS(E_F) = 4.99 states/eV/cell

Lattice parameters (Å, degrees): 5.237 5.237 5.178 90.00 90.00 90.00
Sites, in units of the cell vectors:
1 Sc 0.000 0.000 0.000
2 Cd 0.500 0.500 0.500
3 As 0.000 0.500 0.000
4 As 0.500 0.000 0.000
5 Br 0.000 0.000 0.500

---

[2]
A plane-wave DFT calculation with PBE was carried out for a geometry-optimized Hf5NbGe5 structure.

space group = C2/m, No. 12
energy = -7.866 eV/atom
crystal system = monoclinic
size of the total moment = 0.0 Bohr magnetons per cell
DOS(E_F) = 5.17 states/eV/cell

Lattice parameters (Å, degrees): 6.520 6.520 7.580 107.47 107.47 48.35
Sites, in units of the cell vectors:
1 Hf 0.000 0.000 0.000
2 Hf 0.328 0.328 0.167
3 Hf 0.339 0.339 0.674
4 Hf 0.661 0.661 0.326
5 Hf 0.672 0.672 0.833
6 Nb 0.000 0.000 0.500
7 Ge 0.165 0.165 0.830
8 Ge 0.168 0.168 0.340
9 Ge 0.500 0.500 0.500
10 Ge 0.832 0.832 0.660
11 Ge 0.835 0.835 0.170

---

[3]
A plane-wave DFT calculation with PBE was carried out for a geometry-optimized Sc2TiAs2 structure.

space group = I4/mmm, No. 139
energy = -6.356 eV/atom
crystal system = tetragonal
size of the total moment = 1.4 Bohr magnetons per cell
DOS(E_F) = 5.83 states/eV/cell

Lattice parameters (Å, degrees): 6.661 6.661 6.661 144.48 144.48 51.11
Sites, in units of the cell vectors:
1 Sc 0.250 0.750 0.500
2 Sc 0.750 0.250 0.500
3 Ti 0.000 0.000 0.000
4 As 0.395 0.395 0.000
5 As 0.605 0.605 0.000

---

[4]
A plane-wave DFT calculation with PBE was carried out for a geometry-optimized BeTe3 structure.

formation energy without anion corrections = 0.228 eV per atom
space group = Pmm2, No. 25
crystal system = orthorhombic
size of the total moment = 0.0 Bohr magnetons per cell
DOS(E_F) = 0.74 states/eV/cell

Lattice parameters (Å, degrees): 3.277 3.738 8.938 90.00 90.00 90.00
Sites, in units of the cell vectors:
1 Be 0.000 0.000 0.000
2 Te 0.000 0.500 0.174
3 Te 0.500 0.000 0.557
4 Te 0.500 0.500 0.827